LaPr3Dy2Te6 | PBE-GGA | optimized geometry Values from VASP.

Cell and atoms, written as Quantum ESPRESSO input:
```
&SYSTEM
  ibrav = 0, nat = 12, ntyp = 4
/
ATOMIC_SPECIES
La 138.91 La.upf
Pr 140.91 Pr.upf
Dy 162.50 Dy.upf
Te 127.60 Te.upf
CELL_PARAMETERS angstrom
9.7885 -2.2253 0.0000
9.7885 2.2253 0.0000
-2.1600 0.0000 8.7740
ATOMIC_POSITIONS angstrom
La 0.0000 0.0000 0.0000
Pr -1.0800 0.0000 4.3870
Pr 6.2557 0.0000 1.4913
Pr 11.1612 0.0000 7.2827
Dy 5.0875 0.0000 5.8685
Dy 12.3294 0.0000 2.9055
Te 3.1225 0.0000 0.8226
Te 2.0951 0.0000 5.0375
Te 8.0635 0.0000 6.5414
Te 9.3534 0.0000 2.2326
Te 15.3218 0.0000 3.7366
Te 14.2944 0.0000 7.9514
```

Results
* V: 382.2 Å³/cell
* energy relative to the elements, uncorrected: -1413 meV/atom

LaPrDyTe3 | PBE-GGA | optimized geometry Values from VASP.

Cell and atoms, written as Quantum ESPRESSO input:
```
&SYSTEM
  ibrav = 0, nat = 12, ntyp = 4
/
ATOMIC_SPECIES
La 138.91 La.upf
Pr 140.91 Pr.upf
Dy 162.50 Dy.upf
Te 127.60 Te.upf
CELL_PARAMETERS angstrom
8.7287 0.0000 0.0000
0.0000 4.3608 0.0000
-3.0384 0.0000 10.7105
ATOMIC_POSITIONS angstrom
La 0.9748 1.0902 2.2904
La 4.7155 3.2706 8.4201
Pr -0.5196 1.0902 6.6547
Pr 6.2099 3.2706 4.0558
Dy 0.1959 3.2706 9.6783
Dy 5.4944 1.0902 1.0322
Te -1.9135 1.0902 9.6048
Te 0.6743 3.2706 4.7059
Te 3.5517 3.2706 2.0382
Te 2.1386 1.0902 8.6723
Te 5.0160 1.0902 6.0046
Te 7.6038 3.2706 1.1057
```

Results
* V: 407.7 Å³/cell
* energy relative to the elements, uncorrected: -1321 meV/atom

La3Pr2DyTe6 | PBE-GGA | optimized geometry Values from VASP.

Cell and atoms, written as Quantum ESPRESSO input:
```
&SYSTEM
  ibrav = 0, nat = 12, ntyp = 4
/
ATOMIC_SPECIES
La 138.91 La.upf
Pr 140.91 Pr.upf
Dy 162.50 Dy.upf
Te 127.60 Te.upf
CELL_PARAMETERS angstrom
9.8440 -2.2576 0.0000
9.8440 2.2576 0.0000
-2.0183 0.0000 8.8585
ATOMIC_POSITIONS angstrom
La 0.0000 0.0000 0.0000
La 5.1413 0.0000 5.8988
La 12.5284 0.0000 2.9596
Pr 6.2028 0.0000 1.4608
Pr 11.4668 0.0000 7.3977
Dy -1.0091 0.0000 4.4292
Te 1.9896 0.0000 5.1529
Te 3.1103 0.0000 0.7254
Te 8.3392 0.0000 6.5369
Te 9.3304 0.0000 2.3216
Te 14.5593 0.0000 8.1331
Te 15.6801 0.0000 3.7055
```

Results
* V: 393.7 Å³/cell
* energy relative to the elements, uncorrected: -1494 meV/atom

La2Pr3DyTe6 | PBE-GGA | optimized geometry Values from VASP.

Cell and atoms, written as Quantum ESPRESSO input:
```
&SYSTEM
  ibrav = 0, nat = 12, ntyp = 4
/
ATOMIC_SPECIES
La 138.91 La.upf
Pr 140.91 Pr.upf
Dy 162.50 Dy.upf
Te 127.60 Te.upf
CELL_PARAMETERS angstrom
9.8403 -2.2494 0.0000
9.8403 2.2494 0.0000
-2.0703 0.0000 8.8509
ATOMIC_POSITIONS angstrom
La 2.5901 0.0000 2.9561
La 15.0202 0.0000 5.8948
Pr 1.6321 0.0000 7.3928
Pr 8.8051 0.0000 4.4255
Pr 15.9782 0.0000 1.4581
Dy 9.8403 0.0000 0.0000
Te -1.5300 0.0000 6.7394
Te 5.7153 0.0000 3.6747
Te 4.7647 0.0000 8.1505
Te 12.8455 0.0000 0.7004
Te 11.8949 0.0000 5.1763
Te 19.1402 0.0000 2.1115
```

Results
* V: 391.8 Å³/cell
* energy relative to the elements, uncorrected: -1466 meV/atom

LaPr2Dy3Te6 | PBE-GGA | optimized geometry Values from VASP.

Cell and atoms, written as Quantum ESPRESSO input:
```
&SYSTEM
  ibrav = 0, nat = 12, ntyp = 4
/
ATOMIC_SPECIES
La 138.91 La.upf
Pr 140.91 Pr.upf
Dy 162.50 Dy.upf
Te 127.60 Te.upf
CELL_PARAMETERS angstrom
9.7620 -2.2034 0.0000
9.7620 2.2034 0.0000
-2.3133 0.0000 8.7002
ATOMIC_POSITIONS angstrom
La 0.0000 0.0000 0.0000
Pr 4.9393 0.0000 5.7728
Pr 12.2714 0.0000 2.9274
Dy -1.1567 0.0000 4.3501
Dy 6.1180 0.0000 1.4521
Dy 11.0926 0.0000 7.2481
Te 1.8077 0.0000 5.1527
Te 3.1534 0.0000 0.6617
Te 9.1095 0.0000 2.2619
Te 8.1011 0.0000 6.4383
Te 14.0572 0.0000 8.0385
Te 15.4029 0.0000 3.5476
```

Results
* V: 374.3 Å³/cell
* energy relative to the elements, uncorrected: -1392 meV/atom

LaPr4Dy3Te8 | PBE-GGA | optimized geometry Values from VASP.

Cell and atoms, written as Quantum ESPRESSO input:
```
&SYSTEM
  ibrav = 0, nat = 16, ntyp = 4
/
ATOMIC_SPECIES
La 138.91 La.upf
Pr 140.91 Pr.upf
Dy 162.50 Dy.upf
Te 127.60 Te.upf
CELL_PARAMETERS angstrom
4.4376 2.5621 7.4300
-4.4376 2.5621 7.4300
0.0000 -5.1241 7.4300
ATOMIC_POSITIONS angstrom
La 0.0000 0.0000 0.0000
Pr -4.4376 0.0000 11.1450
Pr -2.2188 1.2810 3.7150
Pr 2.2188 1.2810 3.7150
Pr 0.0000 0.0000 11.1450
Dy -2.2188 -1.2810 7.4300
Dy -2.2188 1.2810 14.8600
Dy 0.0000 2.5621 7.4300
Te 0.0000 -2.5015 9.2146
Te -2.1664 1.2508 9.2146
Te 0.0000 0.0000 5.6864
Te -2.1664 -1.2508 13.0754
Te 2.1664 1.2508 9.2146
Te 0.0000 0.0000 16.6036
Te 2.1664 -1.2508 13.0754
Te 0.0000 2.5015 13.0754
```

Results
* V: 506.8 Å³/cell
* energy relative to the elements, uncorrected: -1395 meV/atom

LaPr3Dy3Te8 | PBE-GGA | optimized geometry Values from VASP.

Cell and atoms, written as Quantum ESPRESSO input:
```
&SYSTEM
  ibrav = 0, nat = 15, ntyp = 4
/
ATOMIC_SPECIES
La 138.91 La.upf
Pr 140.91 Pr.upf
Dy 162.50 Dy.upf
Te 127.60 Te.upf
CELL_PARAMETERS angstrom
4.4312 2.5583 7.2634
-4.4312 2.5583 7.2634
0.0000 -5.1167 7.2634
ATOMIC_POSITIONS angstrom
La 0.0000 0.0000 0.0000
Pr -4.4312 0.0000 10.8951
Pr -2.2156 1.2792 3.6317
Pr 2.2156 1.2792 3.6317
Dy -2.2156 -1.2792 7.2634
Dy -2.2156 1.2792 14.5268
Dy 0.0000 2.5583 7.2634
Te 0.0000 0.0000 5.5478
Te 0.0000 -2.4062 9.0850
Te -2.0838 1.2031 9.0850
Te -2.0838 -1.2031 12.7052
Te 2.0838 1.2031 9.0850
Te 2.0838 -1.2031 12.7052
Te 0.0000 2.4062 12.7052
Te 0.0000 0.0000 16.2425
```

Results
* V: 494.0 Å³/cell
* energy relative to the elements, uncorrected: -1436 meV/atom

La4Pr3DyTe8 | PBE-GGA | optimized geometry Values from VASP.

Cell and atoms, written as Quantum ESPRESSO input:
```
&SYSTEM
  ibrav = 0, nat = 16, ntyp = 4
/
ATOMIC_SPECIES
La 138.91 La.upf
Pr 140.91 Pr.upf
Dy 162.50 Dy.upf
Te 127.60 Te.upf
CELL_PARAMETERS angstrom
4.5472 2.6253 7.3726
-4.5472 2.6253 7.3726
0.0000 -5.2507 7.3726
ATOMIC_POSITIONS angstrom
La 0.0000 0.0000 0.0000
La -2.2736 -1.3127 7.3726
La -2.2736 1.3127 14.7453
La 0.0000 2.6253 7.3726
Pr -4.5472 0.0000 11.0589
Pr -2.2736 1.3127 3.6863
Pr 2.2736 1.3127 3.6863
Dy 0.0000 0.0000 11.0589
Te 0.0000 0.0000 5.5144
Te -2.2253 -1.2848 12.8473
Te 0.0000 -2.5696 9.2706
Te -2.2253 1.2848 9.2706
Te 2.2253 -1.2848 12.8472
Te 0.0000 2.5696 12.8472
Te 2.2253 1.2848 9.2706
Te 0.0000 0.0000 16.6035
```

Results
* V: 528.0 Å³/cell
* energy relative to the elements, uncorrected: -1496 meV/atom